# GGA-PBE La6DyY2Ho, relaxed
# DFT formation energy: 4.5 kcal/mol of atoms
# space-group type: No. 12
# VASP energy: -4.97 eV/atom
# total magnetic moment: 0.000 Bohr magnetons per cell
# theoretical density: 6.2 g/cm³
# N(E_F): 1.84 states/eV/atom
data_La6DyY2Ho
_cell_length_a 9.038
_cell_length_b 7.118
_cell_length_c 6.743
_cell_angle_alpha 121.86
_cell_angle_beta 102.59
_cell_angle_gamma 90.00
_space_group_name_H-M_alt 'P 1'
_space_group_IT_number 1
_space_group_name_Hall 'P 1'
loop_
_atom_site_label
_atom_site_fract_x
_atom_site_fract_y
_atom_site_fract_z
La1 0.803 0.405 0.367
La2 0.570 0.366 0.733
La3 0.430 0.634 0.267
La4 0.197 0.038 0.633
La5 0.197 0.595 0.633
La6 0.803 0.962 0.367
Ho1 0.000 0.500 0.000
Y1 0.168 0.086 0.172
Y2 0.832 0.914 0.828
Dy1 0.500 0.000 0.000